1.
The following is a DFT calculation (PBE-GGA) of a geometry-optimized MgV2Pd9 structure.

Lattice parameters (Å, degrees): 3.909 3.909 11.796 90.00 90.00 90.00
Each line ends with the local moment (μB).
Fractional positions:
Mg  0.000  0.000  0.000  0.00
V  0.000  0.000  0.329  0.58
V  0.000  0.000  0.671  0.58
Pd  0.500  0.500  0.000  -0.03
Pd  0.500  0.500  0.338  -0.06
Pd  0.500  0.500  0.662  -0.06
Pd  0.500  0.000  0.176  -0.04
Pd  0.500  0.000  0.500  -0.04
Pd  0.500  0.000  0.824  -0.04
Pd  0.000  0.500  0.176  -0.04
Pd  0.000  0.500  0.500  -0.04
Pd  0.000  0.500  0.824  -0.04

Values from the calculation:
The value obtained for the density of states at the Fermi level is 7.70 states/eV/cell. Its formation energy is -4.1 eV/f.u. The total moment is 0.83 Bohr magnetons per cell.



2.
The following is a DFT calculation (PBE-GGA) of a geometry-optimized LaBeZn2 structure.

Lattice parameters (Å, degrees): 5.084 6.036 2.979 78.45 83.67 113.20
Fractional positions:
Be  0.000  0.500  0.500
Zn  0.000  0.000  0.000
Zn  0.500  0.000  0.500
La  0.500  0.500  0.000

Values from the calculation:
The value obtained for the density of states at the Fermi level is 2.44 states/eV/cell. Its formation energy is 1.5 eV/f.u. The total moment is 0.00 Bohr magnetons per cell.



3.
The following is a DFT calculation (PBE-GGA) of a geometry-optimized In3Pt12Rh structure.

Lattice parameters (Å, degrees): 4.028 4.028 16.051 90.00 90.00 90.00
Each line ends with the local moment (μB).
Fractional positions:
In  0.000  0.000  0.248  0.00
In  0.000  0.000  0.500  0.00
In  0.000  0.000  0.752  0.00
Pt  0.500  0.500  0.000  0.12
Pt  0.500  0.500  0.246  0.02
Pt  0.500  0.500  0.500  0.01
Pt  0.500  0.500  0.754  0.02
Pt  0.500  0.000  0.120  0.14
Pt  0.500  0.000  0.373  0.01
Pt  0.500  0.000  0.627  0.01
Pt  0.500  0.000  0.880  0.14
Pt  0.000  0.500  0.120  0.14
Pt  0.000  0.500  0.373  0.01
Pt  0.000  0.500  0.627  0.01
Pt  0.000  0.500  0.880  0.14
Rh  0.000  0.000  0.000  0.55

Values from the calculation:
The value obtained for the density of states at the Fermi level is 18.11 states/eV/cell. Its formation energy is -4.4 eV/f.u. The total moment is 1.26 Bohr magnetons per cell.



4.
The following is a DFT calculation (PBE-GGA) of a geometry-optimized SrHgP2 structure.

Lattice parameters (Å, degrees): 4.074 4.480 5.788 85.24 90.00 90.00
Fractional positions:
Hg  0.500  0.750  0.750
P  0.000  0.808  0.063
P  0.000  0.692  0.437
Sr  0.500  0.250  0.250

Values from the calculation:
The value obtained for the density of states at the Fermi level is 1.11 states/eV/cell. Its formation energy is -1.5 eV/f.u. The total moment is 0.00 Bohr magnetons per cell.



5.
The following is a DFT calculation (PBE-GGA) of a geometry-optimized In2CoBMo structure.

Lattice parameters (Å, degrees): 4.905 3.711 4.905 90.00 90.00 90.00
Each line ends with the local moment (μB).
Fractional positions:
Mo  0.500  0.500  0.500  1.98
B  0.000  0.500  0.000  -0.02
Co  0.000  0.000  0.000  0.18
In  0.000  0.000  0.500  -0.04
In  0.500  0.000  0.000  -0.04

Values from the calculation:
The value obtained for the density of states at the Fermi level is 4.37 states/eV/cell. Its formation energy is 4.6 eV/f.u. The total moment is 2.32 Bohr magnetons per cell.



6.
The following is a DFT calculation (PBE-GGA) of a geometry-optimized Cu2PtPb structure.

Lattice parameters (Å, degrees): 4.982 4.982 4.982 132.89 132.89 68.83
Fractional positions:
Cu  0.000  0.000  0.000
Cu  0.250  0.750  0.500
Pb  0.500  0.500  0.000
Pt  0.750  0.250  0.500

Values from the calculation:
The value obtained for the density of states at the Fermi level is 1.38 states/eV/cell. Its formation energy is 0.2 eV/f.u. The total moment is 0.00 Bohr magnetons per cell.